Record 1
A relaxed PmZrGe2 crystal, computed with GGA-PBE.

Cell and atoms, written as POSCAR:
```
PmZrGe2
1.0
4.0856 0.0000 0.0000
0.0000 4.5852 0.0000
0.0000 0.0000 4.5852
Pm Zr Ge
1 1 2
Cartesian
2.0428 0.0000 0.0000
2.0428 2.2926 2.2926
0.0000 2.2926 0.0000
0.0000 0.0000 2.2926
```

Summary:
Space group: No. 123
Total moment, μB/cell: 0.0
Energy relative to the elements, eV per atom: -0.478
Uncorrected energy, eV/cell: -24.45
Volume, A^3/atom: 21.47

Record 2
A relaxed Pm3ZrGe4 crystal, computed with GGA-PBE.

Cell and atoms, written as POSCAR:
```
Pm3ZrGe4
1.0
-0.0489 1.6361 4.9196
-6.8505 -3.9015 1.2293
5.0506 -8.0127 2.7150
Ge Pm Zr
8 6 2
Cartesian
3.1544 -6.6324 2.5888
2.0270 -3.3510 4.2188
0.2867 -2.0827 1.0472
-3.2641 -0.9200 3.3571
-1.0919 -5.9594 2.3225
-4.6427 -4.7965 4.6328
-2.4598 -8.2595 5.8062
-6.3830 -3.5280 1.4619
-0.3882 0.7180 2.8414
-0.7412 -2.6753 3.9667
-3.9678 -7.5971 2.8390
-0.6534 -8.9018 3.3061
-3.6148 -4.2036 1.7142
1.3479 -5.9898 5.0897
-2.2169 -1.1554 0.7143
-2.1391 -5.7236 4.9664
```

Summary:
Space group: No. 59
Total moment, μB/cell: 0.0
Energy relative to the elements, eV per atom: -0.516
Uncorrected energy, eV/cell: -90.79
Volume, A^3/atom: 25.48